This record from the Alexandria database describes a geometry-optimized Mg2SnPb9 structure. The functional is GGA-PBE.

Cell lengths 4.9109, 4.9109, 14.7947 Å; angles 90.00, 90.00, 90.00 degrees
Last column: nearest neighbours and their distance in Å.
Element x y z (fractional)
Mg 0.0000 0.0000 0.1622  12 Pb 3.43-3.47
Mg 0.0000 0.0000 0.8378  12 Pb 3.43-3.47
Sn 0.0000 0.0000 0.5000  12 Pb 3.47-3.54
Pb 0.0000 0.5000 0.0000  4 Mg 3.43, 8 Pb 3.46-3.47
Pb 0.0000 0.5000 0.3277  8 Pb 3.44-3.54, 2 Mg 3.47, 2 Sn 3.54
Pb 0.0000 0.5000 0.6723  8 Pb 3.44-3.54, 2 Mg 3.47, 2 Sn 3.54
Pb 0.5000 0.0000 0.0000  4 Mg 3.43, 8 Pb 3.46-3.47
Pb 0.5000 0.0000 0.3277  8 Pb 3.44-3.54, 2 Mg 3.47, 2 Sn 3.54
Pb 0.5000 0.0000 0.6723  8 Pb 3.44-3.54, 2 Mg 3.47, 2 Sn 3.54
Pb 0.5000 0.5000 0.1646  8 Pb 3.44-3.46, 4 Mg 3.47
Pb 0.5000 0.5000 0.5000  4 Sn 3.47, 8 Pb 3.54
Pb 0.5000 0.5000 0.8354  8 Pb 3.44-3.46, 4 Mg 3.47

**Energy of formation from the pure elements**: 1.50 kJ per mole of atoms
**DOS at the Fermi energy**: 0.596 states/eV per atom
**Total moment**: 0.0 μB per formula unit
**Total energy**: -40.380 eV for the cell shown

***

This record from the Alexandria database describes a geometry-optimized MgSnPb2 structure. The functional is GGA-PBE.

Cell lengths 7.6966, 7.6966, 7.6966 Å; angles 123.58, 123.58, 83.91 degrees
Last column: nearest neighbours and their distance in Å.
Element x y z (fractional)
Mg 0.0000 0.0000 0.0000  4 Pb 2.94
Mg 0.7500 0.2500 0.5000  4 Pb 2.94
Sn 0.2500 0.7500 0.5000  4 Pb 2.95
Sn 0.5000 0.5000 0.0000  4 Pb 2.95
Pb 0.1246 0.6250 0.9996  2 Mg 2.94, 2 Sn 2.95
Pb 0.3750 0.3746 0.4996  2 Mg 2.94, 2 Sn 2.95
Pb 0.6254 0.1250 0.0004  2 Mg 2.94, 2 Sn 2.95
Pb 0.8750 0.8754 0.5004  2 Mg 2.94, 2 Sn 2.95

**Energy of formation from the pure elements**: 28.01 kJ per mole of atoms
**DOS at the Fermi energy**: 0.544 states/eV per atom
**Total moment**: 0.0 μB per formula unit
**Total energy**: -23.706 eV for the cell shown
**Distance to the lowest polymorph of the same formula**: 27.4 kJ per mole of atoms

***

This record from the Alexandria database describes a geometry-optimized Mg4SnPb3 structure. The functional is GGA-PBE.

Cell lengths 3.4731, 3.4731, 17.0274 Å; angles 90.00, 90.00, 90.00 degrees
Last column: nearest neighbours and their distance in Å.
Element x y z (fractional)
Mg 0.0000 0.0000 0.1190  4 Sn 3.18, 4 Pb 3.28, 4 Mg 3.47
Mg 0.0000 0.0000 0.3732  8 Pb 3.26-3.27, 4 Mg 3.47
Mg 0.0000 0.0000 0.6268  8 Pb 3.26-3.27, 4 Mg 3.47
Mg 0.0000 0.0000 0.8810  4 Sn 3.18, 4 Pb 3.28, 4 Mg 3.47
Sn 0.5000 0.5000 0.0000  8 Mg 3.18, 4 Sn 3.47
Pb 0.5000 0.5000 0.2472  8 Mg 3.26-3.28, 4 Pb 3.47
Pb 0.5000 0.5000 0.5000  8 Mg 3.27, 4 Pb 3.47
Pb 0.5000 0.5000 0.7528  8 Mg 3.26-3.28, 4 Pb 3.47

**Energy of formation from the pure elements**: -6.99 kJ per mole of atoms
**DOS at the Fermi energy**: 0.410 states/eV per atom
**Total moment**: 0.0 μB per formula unit
**Total energy**: -22.086 eV for the cell shown

***

This record from the Alexandria database describes a geometry-optimized Sr2Mg4Sn3Pb structure. The functional is GGA-PBE.

Cell lengths 4.8416, 4.8416, 12.2731 Å; angles 90.00, 90.00, 90.00 degrees
Last column: nearest neighbours and their distance in Å.
Element x y z (fractional)
Sr 0.0000 0.5000 0.2498  8 Mg 3.69-3.91, 6 Sn 3.70-3.91, 2 Pb 3.91
Sr 0.5000 0.0000 0.7502  8 Mg 3.69-3.91, 6 Sn 3.70-3.91, 2 Pb 3.91
Mg 0.0000 0.0000 0.0000  4 Sn 2.94
Mg 0.0000 0.5000 0.6381  3 Sn 2.77-2.95, 2 Pb 2.95
Mg 0.5000 0.0000 0.3619  3 Sn 2.77-2.95, 2 Pb 2.95
Mg 0.5000 0.5000 0.0000  4 Sn 2.94
Sn 0.0000 0.5000 0.8637  5 Mg 2.77-2.94
Sn 0.5000 0.0000 0.1363  5 Mg 2.77-2.94
Sn 0.5000 0.5000 0.5000  4 Mg 2.95
Pb 0.0000 0.0000 0.5000  4 Mg 2.95

**Energy of formation from the pure elements**: -38.84 kJ per mole of atoms
**DOS at the Fermi energy**: 0.254 states/eV per atom
**Total moment**: 0.0 μB per formula unit
**Total energy**: -29.485 eV for the cell shown

***

This record from the Alexandria database describes a geometry-optimized Sr2Mg3Sn4Pb structure. The functional is GGA-PBE.

Cell lengths 4.9295, 4.9295, 12.3940 Å; angles 90.00, 90.00, 90.00 degrees
Last column: nearest neighbours and their distance in Å.
Element x y z (fractional)
Sr 0.0000 0.5000 0.2361  6 Mg 3.73-4.10, 8 Sn 3.77-3.83, 2 Pb 4.10
Sr 0.5000 0.0000 0.7639  6 Mg 3.73-4.10, 8 Sn 3.77-3.83, 2 Pb 4.10
Mg 0.0000 0.5000 0.8708  5 Sn 2.76-2.94
Mg 0.5000 0.0000 0.1292  5 Sn 2.76-2.94
Mg 0.5000 0.5000 0.5000  4 Sn 3.07
Sn 0.0000 0.0000 0.0000  4 Mg 2.94
Sn 0.0000 0.5000 0.6478  3 Mg 2.76-3.07, 2 Pb 3.07
Sn 0.5000 0.0000 0.3522  3 Mg 2.76-3.07, 2 Pb 3.07
Sn 0.5000 0.5000 0.0000  4 Mg 2.94
Pb 0.0000 0.0000 0.5000  4 Sn 3.07

**Energy of formation from the pure elements**: -30.94 kJ per mole of atoms
**DOS at the Fermi energy**: 0.541 states/eV per atom
**Total moment**: 0.0 μB per formula unit
**Total energy**: -31.074 eV for the cell shown

***

This record from the Alexandria database describes a geometry-optimized Sr2Mg5Sn3Pb2 structure. The functional is GGA-PBE.

Cell lengths 18.3011, 18.3011, 18.3011 Å; angles 165.63, 165.63, 20.38 degrees
Last column: nearest neighbours and their distance in Å.
Element x y z (fractional)
Sr 0.2129 0.2129 0.0000  5 Sn 3.37-3.59, 4 Mg 3.65
Sr 0.7871 0.7871 0.0000  5 Sn 3.37-3.59, 4 Mg 3.65
Mg 0.0000 0.0000 0.0000  2 Pb 2.84
Mg 0.1341 0.6341 0.5000  2 Sn 2.99, 2 Pb 3.03, 4 Mg 3.24
Mg 0.3659 0.8659 0.5000  2 Sn 2.99, 2 Pb 3.03, 4 Mg 3.24
Mg 0.6341 0.1341 0.5000  2 Sn 2.99, 2 Pb 3.03, 4 Mg 3.24
Mg 0.8659 0.3659 0.5000  2 Sn 2.99, 2 Pb 3.03, 4 Mg 3.24
Sn 0.3127 0.3127 0.0000  4 Mg 2.99
Sn 0.5000 0.5000 0.0000  4 Mg 3.24
Sn 0.6873 0.6873 0.0000  4 Mg 2.99
Pb 0.0788 0.0788 0.0000  5 Mg 2.84-3.03
Pb 0.9212 0.9212 0.0000  5 Mg 2.84-3.03

**Energy of formation from the pure elements**: -12.66 kJ per mole of atoms
**DOS at the Fermi energy**: 0.489 states/eV per atom
**Total moment**: 0.0 μB per formula unit
**Total energy**: -32.336 eV for the cell shown

***

This record from the Alexandria database describes a geometry-optimized TbMgSnPb structure. The functional is GGA-PBE.

Cell lengths 5.3300, 5.3300, 5.3300 Å; angles 60.00, 60.00, 60.00 degrees
Last column: nearest neighbours and their distance in Å.
Element x y z (fractional)
Tb 0.0000 0.0000 0.0000  4 Pb 3.26, 4 Sn 3.26
Mg 0.5000 0.5000 0.5000  4 Sn 3.26, 4 Pb 3.26
Sn 0.2500 0.2500 0.2500  4 Tb 3.26, 4 Mg 3.26
Pb 0.7500 0.7500 0.7500  4 Tb 3.26, 4 Mg 3.26

**Energy of formation from the pure elements**: -24.82 kJ per mole of atoms
**DOS at the Fermi energy**: 0.617 states/eV per atom
**Total moment**: 0.0 μB per formula unit
**Total energy**: -14.965 eV for the cell shown
**Distance to the lowest polymorph of the same formula**: 15.0 kJ per mole of atoms

***

This record from the Alexandria database describes a geometry-optimized TbMgSnPb structure. The functional is GGA-PBE.

Cell lengths 4.4535, 4.7977, 4.8315 Å; angles 90.00, 90.00, 90.00 degrees
Last column: nearest neighbours and their distance in Å.
Element x y z (fractional)
Tb 0.0000 0.0000 0.0000  4 Sn 3.27, 4 Pb 3.29, 4 Mg 3.40
Mg 0.0000 0.5000 0.5000  4 Pb 3.27, 4 Sn 3.29, 4 Tb 3.40
Sn 0.5000 0.5000 0.0000  4 Tb 3.27, 4 Mg 3.29, 4 Pb 3.40
Pb 0.5000 0.0000 0.5000  4 Mg 3.27, 4 Tb 3.29, 4 Sn 3.40

**Energy of formation from the pure elements**: -39.78 kJ per mole of atoms
**DOS at the Fermi energy**: 0.471 states/eV per atom
**Total moment**: 0.0 μB per formula unit
**Total energy**: -15.585 eV for the cell shown
**Distance to the lowest polymorph of the same formula**: 0.0 kJ per mole of atoms

***

This record from the Alexandria database describes a geometry-optimized MgSnTe4Pb2 structure. The functional is GGA-PBE.

Cell lengths 7.7861, 4.5058, 7.8426 Å; angles 90.00, 109.31, 90.00 degrees
Last column: nearest neighbours and their distance in Å.
Element x y z (fractional)
Mg 0.0000 0.0000 0.0000  6 Te 3.05-3.07
Sn 0.5000 0.5000 0.0000  6 Te 3.16
Te 0.2334 0.5000 0.2280  2 Mg 3.07, 1 Sn 3.16, 3 Pb 3.23-3.32
Te 0.2449 0.0000 0.7659  1 Mg 3.05, 2 Sn 3.16, 3 Pb 3.23-3.32
Te 0.7551 0.0000 0.2341  1 Mg 3.05, 2 Sn 3.16, 3 Pb 3.23-3.32
Te 0.7666 0.5000 0.7720  2 Mg 3.07, 1 Sn 3.16, 3 Pb 3.23-3.32
Pb 0.0000 0.5000 0.5000  6 Te 3.23
Pb 0.5000 0.0000 0.5000  6 Te 3.32

**DOS at the Fermi energy**: 0.012 states/eV per atom
**Total moment**: 0.0 μB per formula unit
**Total energy**: -29.282 eV for the cell shown

***

This record from the Alexandria database describes a geometry-optimized MgSn2Te6Pb3 structure. The functional is GGA-PBE.

Cell lengths 10.1424, 10.1424, 9.0862 Å; angles 103.34, 103.34, 25.84 degrees
Last column: nearest neighbours and their distance in Å.
Element x y z (fractional)
Mg 0.0000 0.0000 0.0000  6 Te 3.02-3.09
Sn 0.3353 0.3353 0.6695  6 Te 3.17-3.20
Sn 0.6647 0.6647 0.3305  6 Te 3.17-3.20
Te 0.1574 0.1574 0.0841  1 Mg 3.02, 2 Sn 3.17, 3 Pb 3.25-3.38
Te 0.1687 0.1687 0.5795  3 Sn 3.19-3.20, 3 Pb 3.24
Te 0.5001 0.5001 0.2308  2 Mg 3.09, 1 Sn 3.17, 3 Pb 3.21-3.34
Te 0.4999 0.4999 0.7692  2 Mg 3.09, 1 Sn 3.17, 3 Pb 3.21-3.34
Te 0.8313 0.8313 0.4205  3 Sn 3.19-3.20, 3 Pb 3.24
Te 0.8426 0.8426 0.9159  1 Mg 3.02, 2 Sn 3.17, 3 Pb 3.25-3.38
Pb 0.0000 0.0000 0.5000  6 Te 3.24-3.34
Pb 0.3331 0.3331 0.1663  6 Te 3.21-3.38
Pb 0.6669 0.6669 0.8337  6 Te 3.21-3.38

**Total moment**: 0.0 μB per formula unit
**Total energy**: -44.660 eV for the cell shown

***

This record from the Alexandria database describes a geometry-optimized ThMg2SnPb structure. The functional is GGA-PBE.

Cell lengths 8.0208, 8.0208, 8.6637 Å; angles 90.00, 90.00, 148.72 degrees
Last column: nearest neighbours and their distance in Å.
Element x y z (fractional)
Th 0.0739 0.9261 0.7500  4 Pb 3.27, 2 Sn 3.37
Th 0.9261 0.0739 0.2500  4 Pb 3.27, 2 Sn 3.37
Mg 0.3197 0.6803 0.5701  1 Pb 2.85, 3 Sn 2.93, 1 Mg 3.12
Mg 0.3197 0.6803 0.9299  1 Pb 2.85, 3 Sn 2.93, 1 Mg 3.12
Mg 0.6803 0.3197 0.0701  1 Pb 2.85, 3 Sn 2.93, 1 Mg 3.12
Mg 0.6803 0.3197 0.4299  1 Pb 2.85, 3 Sn 2.93, 1 Mg 3.12
Sn 0.2591 0.7409 0.2500  6 Mg 2.93
Sn 0.7409 0.2591 0.7500  6 Mg 2.93
Pb 0.5000 0.5000 0.0000  2 Mg 2.85
Pb 0.5000 0.5000 0.5000  2 Mg 2.85

**Energy of formation from the pure elements**: -12.44 kJ per mole of atoms
**DOS at the Fermi energy**: 0.227 states/eV per atom
**Total moment**: 0.0 μB per formula unit
**Total energy**: -37.929 eV for the cell shown

***

This record from the Alexandria database describes a geometry-optimized ThMgSnPb structure. The functional is GGA-PBE.

Cell lengths 4.4644, 4.8876, 5.0035 Å; angles 90.00, 90.00, 90.00 degrees
Last column: nearest neighbours and their distance in Å.
Element x y z (fractional)
Th 0.0000 0.0000 0.0000  4 Sn 3.31, 4 Pb 3.35, 4 Mg 3.50
Mg 0.0000 0.5000 0.5000  4 Pb 3.31, 4 Sn 3.35, 4 Th 3.50
Sn 0.5000 0.5000 0.0000  4 Th 3.31, 4 Mg 3.35, 4 Pb 3.50
Pb 0.5000 0.0000 0.5000  4 Mg 3.31, 4 Th 3.35, 4 Sn 3.50

**Energy of formation from the pure elements**: -32.75 kJ per mole of atoms
**DOS at the Fermi energy**: 0.555 states/eV per atom
**Total moment**: 0.0 μB per formula unit
**Total energy**: -18.083 eV for the cell shown
**Distance to the lowest polymorph of the same formula**: 0.0 kJ per mole of atoms

***

Question: total energy of number 3 (Mg4SnPb3)?
Answer: -22.086 eV for the cell shown